[1]
A relaxed structure of BaNaHg2Pd. Source: the Alexandria database, functional PBE-GGA.

Results
Magnetic moment ... 0.000 μB per cell
Calculated formation energy ... -280.5 meV/atom
Energy ... -2.088 eV per atom

Cell lengths 5.391, 5.391, 5.240 Å; angles 90.00, 90.00, 90.00 degrees
Positions (direct):
Hg: 0.000 0.500 0.000
Hg: 0.500 0.000 0.000
Na: 0.000 0.000 0.500
Ba: 0.500 0.500 0.500
Pd: 0.000 0.000 0.000

***

[2]
A relaxed structure of BaNaHg2Pd2. Source: the Alexandria database, functional PBE-GGA.

Results
Magnetic moment ... 0.000 μB per cell
Calculated formation energy ... -386.7 meV/atom
Energy ... -2.759 eV per atom

Cell lengths 4.813, 4.813, 7.607 Å; angles 90.00, 90.00, 120.00 degrees
Positions (direct):
Na: 0.000 0.000 0.500
Ba: 0.000 0.000 0.000
Hg: 0.333 0.667 0.311
Pd: 0.333 0.667 0.713
Hg: 0.667 0.333 0.689
Pd: 0.667 0.333 0.287